[1]
PBE PmNpSn2, relaxed; theoretical density = 9.05 g/cm³; calculated formation energy = 0.63 eV/f.u.
1.0
-1.3840 -2.8966 0.8056
-0.1719 -2.4315 -2.2390
10.1469 -5.8648 3.1434
Pm Np Sn
1 1 2
Direct
0.5000 0.5000 0.5000
0.0000 0.0000 0.0000
0.0888 0.0888 0.7335
0.9112 0.9112 0.2665



[2]
PBE RbZrPtO4, relaxed; theoretical density = 6.21 g/cm³; energy relative to the elements, uncorrected = -162 kJ/mol of atoms
1.0
5.7045 0.0000 0.0000
-2.8522 7.0590 0.4866
0.0000 -3.3790 5.5569
O Pt Zr Rb
8 2 2 2
Direct
0.7149 0.9789 0.2394
0.2851 0.0211 0.7606
0.6845 0.3690 0.2447
0.6845 0.3690 0.6243
0.3155 0.6310 0.7553
0.3155 0.6310 0.3757
0.7360 0.0211 0.7606
0.2640 0.9789 0.2394
0.0000 0.5000 0.5000
0.5000 0.5000 0.5000
0.5000 0.0000 0.0000
0.5000 0.0000 0.5000
0.8288 0.6576 0.0788
0.1712 0.3424 0.9212